# 1
The following is a DFT calculation (GGA-PBE) of a relaxed structure of SrPmEr4S8.

abc: 8.1111 8.1111 20.1493
angles: 90.00 90.00 120.00
Space group R3m (No. 160, hexagonal axes)
Symmetry-distinct sites (fractional):
Sr  0.0000  0.0000  0.0000 [3 per cell]
Pm  0.0000  0.0000  0.6283 [3 per cell]
Er  0.0000  0.0000  0.2518 [3 per cell]
Er  0.1691  0.3381  0.4592 [9 per cell]
S  0.0000  0.0000  0.3842 [3 per cell]
S  0.0000  0.0000  0.8614 [3 per cell]
S  0.0332  0.5166  0.3846 [9 per cell]
S  0.1736  0.3473  0.2046 [9 per cell]

* crystal system: trigonal
* energy relative to the elements, uncorrected: -1981 meV/atom

# 2
The following is a DFT calculation (GGA-PBE) of a relaxed structure of Sr3Pm3ErS8.

abc: 8.1477 8.1477 20.7112
angles: 90.00 90.00 120.00
Space group R-3m (No. 166, hexagonal axes)
Symmetry-distinct sites (fractional):
Sr  0.0000  0.5000  0.0000 [9 per cell]
Pm  0.0000  0.5000  0.5000 [9 per cell]
Er  0.0000  0.0000  0.5000 [3 per cell]
S  0.0000  0.0000  0.2460 [6 per cell]
S  0.0114  0.5057  0.2417 [18 per cell]

* crystal system: trigonal
* energy relative to the elements, uncorrected: -2086 meV/atom

# 3
The following is a DFT calculation (GGA-PBE) of a relaxed structure of Tb3Pm2ErS6.

abc: 17.2058 3.9401 7.9446
angles: 90.00 103.34 90.00
Space group C2/m (No. 12)
Symmetry-distinct sites (fractional):
Tb  0.0000  0.0000  0.0000 [2 per cell]
Tb  0.1691  0.5000  0.3329 [4 per cell]
Pm  0.1677  0.5000  0.8357 [4 per cell]
Er  0.0000  0.0000  0.5000 [2 per cell]
S  0.0028  0.5000  0.2562 [4 per cell]
S  0.1639  0.0000  0.0890 [4 per cell]
S  0.1639  0.0000  0.5752 [4 per cell]

* crystal system: monoclinic
* energy relative to the elements, uncorrected: -2007 meV/atom

Question: Which value of energy relative to the elements, uncorrected does entry 1 give?
Answer: -1981 meV/atom

What did the first record say?
The following is a DFT calculation (GGA-PBE) of a relaxed structure of SrPmEr4S8.

abc: 8.1111 8.1111 20.1493
angles: 90.00 90.00 120.00
Space group R3m (No. 160, hexagonal axes)
Symmetry-distinct sites (fractional):
Sr  0.0000  0.0000  0.0000 [3 per cell]
Pm  0.0000  0.0000  0.6283 [3 per cell]
Er  0.0000  0.0000  0.2518 [3 per cell]
Er  0.1691  0.3381  0.4592 [9 per cell]
S  0.0000  0.0000  0.3842 [3 per cell]
S  0.0000  0.0000  0.8614 [3 per cell]
S  0.0332  0.5166  0.3846 [9 per cell]
S  0.1736  0.3473  0.2046 [9 per cell]

* crystal system: trigonal
* energy relative to the elements, uncorrected: -1981 meV/atom